The following is a GGA-PBE calculation of crystalline Y2ZrSi at its relaxed geometry, from Alexandria via LeMat-Bulk.

The structure belongs to space group P4/mmm (No. 123); the cell edges are 4.527, 4.527 and 4.518 Å and the angles 90.00°, 90.00° and 90.00°. The distinct sites, in fractional coordinates, are Y at (0.000, 0.500, 0.000), Zr at (0.000, 0.000, 0.500) and Si at (0.500, 0.500, 0.500).

For the formation energy (no corrections), the calculation gives -0.20 eV per atom. The value obtained for the distance to the lowest polymorph of the same formula is 89 meV per atom. The calculation puts the density of states at the Fermi level at 5.053 states/eV/cell.